(1)
The following is a DFT calculation (PBE) of TaAlTe2 after structural relaxation.

Lattice parameters (Å, degrees): 3.6943 3.6943 26.4122 90.00 90.00 120.00
Closest atoms and distances in Å follow each position.
Space group R-3m (No. 166, hexagonal axes)
Unique sites:
Ta (0.0000, 0.0000, 0.0000) x3  2 Te 2.69
Al (0.0000, 0.0000, 0.5000) x3  6 Te 2.74
Te (0.0000, 0.0000, 0.1018) x6  1 Ta 2.69, 3 Al 2.74

Values from the calculation:
crystal system = trigonal
density of states at the Fermi level = 1.14 states/eV per atom
uncorrected formation energy = 0.554 eV per atom
energy = -4.92 eV/atom


(2)
The following is a DFT calculation (PBE) of ThSb2Ir after structural relaxation.

Lattice parameters (Å, degrees): 3.5264 3.5264 30.0709 90.00 90.00 120.00
Closest atoms and distances in Å follow each position.
Space group R-3m (No. 166, hexagonal axes)
Unique sites:
Th (0.0000, 0.0000, 0.0000) x3  2 Sb 3.25, 6 Th 3.53
Sb (0.0000, 0.0000, 0.1082) x6  3 Ir 2.69
Ir (0.0000, 0.0000, 0.5000) x3  6 Sb 2.69

Values from the calculation:
crystal system = trigonal
density of states at the Fermi level = 1.07 states/eV per atom
uncorrected formation energy = 0.044 eV per atom
energy = -6.09 eV/atom


(3)
The following is a DFT calculation (PBE) of Ba3ThZn2O8 after structural relaxation.

Lattice parameters (Å, degrees): 6.1283 6.1283 7.7727 90.00 90.00 120.00
Closest atoms and distances in Å follow each position.
Space group P-3m1 (No. 164)
Unique sites:
Ba (0.0000, 0.0000, 0.0000) x1  6 O 3.09
Ba (0.3333, 0.6667, 0.6496) x2  1 O 2.48
Th (0.0000, 0.0000, 0.5000) x1  6 O 2.26
Zn (0.3333, 0.6667, 0.2056) x2  4 O 1.85-1.97
O (0.1688, 0.3376, 0.3236) x6  1 Zn 1.97
O (0.3333, 0.6667, 0.9681) x2  1 Zn 1.85

Values from the calculation:
crystal system = trigonal
density of states at the Fermi level = 0.68 states/eV per atom
uncorrected formation energy = -2.201 eV per atom
energy = -6.16 eV/atom


(4)
The following is a DFT calculation (PBE) of UBePN after structural relaxation.

Lattice parameters (Å, degrees): 3.7401 3.7401 8.0057 90.00 90.00 90.00
Closest atoms and distances in Å follow each position.
Space group P4/nmm (No. 129, origin choice 2)
Unique sites:
U (0.2500, 0.2500, 0.1520) x2  4 N 2.23
Be (0.2500, 0.7500, 0.5000) x2  4 P 2.24
P (0.2500, 0.2500, 0.6544) x2  4 Be 2.24
N (0.2500, 0.7500, 0.0000) x2  4 U 2.23

Values from the calculation:
crystal system = tetragonal
density of states at the Fermi level = 1.12 states/eV per atom
uncorrected formation energy = -0.926 eV per atom
energy = -8.11 eV/atom